Material: HfHgTeN2
Method: DFT, PBE-GGA
State: optimized geometry

a = 4.233 Å, b = 4.233 Å, c = 5.827 Å
α = 90.00°, β = 90.00°, γ = 90.00°
Fractional positions:
Hf 0.000 0.000 0.000
Hg 0.500 0.500 0.500
Te 0.500 0.500 0.000
N 0.000 0.500 0.500
N 0.500 0.000 0.500

ΔE to the lowest computed polymorph	144.0	kJ per mole of atoms
raw formation energy	1.778	eV/atom

Material: HfHgTe2N
Method: DFT, PBE-GGA
State: optimized geometry

a = 5.787 Å, b = 5.787 Å, c = 4.000 Å
α = 90.00°, β = 90.00°, γ = 90.00°
Fractional positions:
Hf 0.000 0.000 0.000
Hg 0.500 0.500 0.500
Te 0.000 0.500 0.000
Te 0.500 0.000 0.000
N 0.000 0.000 0.500

ΔE to the lowest computed polymorph	0.0	kJ per mole of atoms
raw formation energy	0.013	eV/atom

Material: HfTi2HgN
Method: DFT, PBE-GGA
State: optimized geometry

a = 4.201 Å, b = 4.201 Å, c = 4.436 Å
α = 90.00°, β = 90.00°, γ = 90.00°
Fractional positions:
Hf 0.000 0.000 0.000
Ti 0.000 0.500 0.500
Ti 0.500 0.000 0.500
Hg 0.500 0.500 0.000
N 0.000 0.000 0.500

ΔE to the lowest computed polymorph	0.0	kJ per mole of atoms
raw formation energy	-0.828	eV/atom